Entry 1:
Here is a geometry-optimized GaHS2O structure from Alexandria. Energies are from PBE-GGA.

Lattice parameters (Å, degrees): 3.3820 7.0617 3.3820 90.00 90.00 90.00
Atoms (fractional coordinates):
H 0.0000 0.0000 0.0000
S 0.0000 0.0000 0.5000
S 0.5000 0.0000 0.0000
O 0.5000 0.5000 0.5000
Ga 0.0000 0.5000 0.0000

## Properties
electronic total energy	-3.52	eV/atom
SG	P4/mmm, No. 123

Entry 2:
Here is a geometry-optimized SbOs2Pt structure from Alexandria. Energies are from PBE-GGA.

Lattice parameters (Å, degrees): 3.0094 3.0094 7.2181 90.00 90.00 90.00
Atoms (fractional coordinates):
Os 0.0000 0.0000 0.0086
Os 0.0000 0.0000 0.4914
Pt 0.5000 0.5000 0.2500
Sb 0.5000 0.5000 0.7500

## Properties
formation energy (no corrections)	0.65	eV per atom
SG	P4/mmm, No. 123

Entry 3:
Here is a geometry-optimized Y3C4 structure from Alexandria. Energies are from PBE-GGA.

Lattice parameters (Å, degrees): 5.7614 5.7614 5.7614 90.00 90.00 90.00
Atoms (fractional coordinates):
Y 0.5000 0.0000 0.5000
Y 0.5000 0.5000 0.0000
Y 0.0000 0.5000 0.5000
C 0.4052 0.5948 0.4052
C 0.5948 0.4052 0.4052
C 0.5948 0.5948 0.5948
C 0.4052 0.4052 0.5948

## Properties
calculated formation energy	0.71	eV/atom
SG	P-43m, No. 215
E above lowest polymorph	7.21	eV/f.u.

Entry 4:
Here is a geometry-optimized NdHo4Er2Tm structure from Alexandria. Energies are from PBE-GGA.

Lattice parameters (Å, degrees): 9.4501 9.4501 11.6949 128.23 128.23 88.81
Atoms (fractional coordinates):
Nd 0.0000 0.5000 0.0000
Nd 0.0000 0.5000 0.5000
Ho 0.2510 0.7525 0.0017
Ho 0.7475 0.2491 0.4983
Ho 0.2525 0.7509 0.5017
Ho 0.7491 0.2475 0.9983
Ho 0.7466 0.7506 0.9980
Ho 0.7494 0.7534 0.5020
Ho 0.2506 0.2466 0.4980
Ho 0.2534 0.2494 0.0020
Er 0.5000 0.0000 0.0000
Er 0.5000 0.0000 0.5000
Er 0.0000 0.0000 0.5000
Er 0.5000 0.5000 0.0000
Tm 0.5000 0.5000 0.5000
Tm 0.0000 0.0000 0.0000

## Properties
calculated formation energy	0.44	eV/atom
SG	C2/c, No. 15

Entry 5:
Here is a geometry-optimized PrSm2Th2 structure from Alexandria. Energies are from PBE-GGA.

Lattice parameters (Å, degrees): 3.6146 3.6146 14.8739 90.00 90.00 120.00
Atoms (fractional coordinates):
Pr 0.0000 0.0000 0.5000
Sm 0.6667 0.3333 0.7032
Sm 0.3333 0.6667 0.2968
Th 0.3333 0.6667 0.9032
Th 0.6667 0.3333 0.0968

## Properties
calculated formation energy	0.04	eV/atom
SG	P-3m1, No. 164
E above lowest polymorph	0.10	eV/f.u.

Entry 6:
Here is a geometry-optimized Mg2TlHg2 structure from Alexandria. Energies are from PBE-GGA.

Lattice parameters (Å, degrees): 3.3527 4.6528 8.4399 74.00 90.00 90.00
Atoms (fractional coordinates):
Mg 0.0000 0.1868 0.6265
Mg 0.0000 0.8132 0.3735
Tl 0.0000 0.0000 0.0000
Hg 0.5000 0.3552 0.2896
Hg 0.5000 0.6448 0.7104

## Properties
calculated formation energy	-0.07	eV/atom
SG	Cmmm, No. 65
E above lowest polymorph	0.26	eV/f.u.

Entry 7:
Here is a geometry-optimized RbAc2C2N6 structure from Alexandria. Energies are from PBE-GGA.

Lattice parameters (Å, degrees): 6.7632 6.2578 6.6432 108.01 90.24 56.98
Atoms (fractional coordinates):
Rb 0.5000 0.0000 0.5000
Ac 0.8297 0.3401 0.7965
Ac 0.1703 0.6599 0.2035
C 0.1708 0.6553 0.7420
C 0.8292 0.3447 0.2580
N 0.3843 0.5612 0.8030
N 0.9495 0.4360 0.1960
N 0.0844 0.8274 0.6341
N 0.0505 0.5640 0.8040
N 0.9156 0.1726 0.3659
N 0.6157 0.4388 0.1970

## Properties
formation energy (no corrections)	-0.33	eV per atom
SG	P-1, No. 2

Entry 8:
Here is a geometry-optimized Cs3BaNa8 structure from Alexandria. Energies are from PBE-GGA.

Lattice parameters (Å, degrees): 7.6393 7.6392 12.6330 90.00 90.00 120.00
Atoms (fractional coordinates):
Cs 0.6667 0.3333 0.4394
Cs 0.6667 0.3333 0.0627
Cs 0.0000 0.0000 0.9348
Ba 0.0000 0.0000 0.5609
Na 0.3333 0.6667 0.5016
Na 0.3333 0.6667 0.0029
Na 0.4990 0.9979 0.7395
Na 0.4990 0.5010 0.7395
Na 0.0021 0.5010 0.7395
Na 0.1650 0.3301 0.2598
Na 0.1650 0.8350 0.2598
Na 0.6699 0.8350 0.2598

## Properties
calculated formation energy	0.02	eV/atom
SG	P3m1, No. 156